DFT (meta-GGA SCAN) results for a crystal of MgTaTe2 relaxed with PBEsol.

Calculated values
Formation energy without anion corrections: 1.64 kcal/mol of atoms

abc: 6.5463 6.5463 11.9478
angles: 90.00 90.00 90.00
Space group I-42d (No. 122)
One atom of each set of equivalent atoms:
Mg: 0.0000 0.0000 0.0000 x4
Ta: 0.0000 0.0000 0.5000 x4
Te: 0.2411 0.2500 0.6250 x8